(1)
A plane-wave DFT calculation with PBE was carried out for crystalline RbLiScBr5 at its relaxed geometry.

```
16
Lattice="-6.747 1.580 -3.583 4.380 -4.082 -5.000 -2.644 -6.969 7.076" Properties=species:S:1:pos:R:3 pbc="T T T"
Br -8.005 -4.016 1.632
Br 2.994 -5.455 -3.139
Sc -1.322 -3.484 3.538
Br -5.413 -2.097 -0.148
Br 0.052 -9.034 2.525
Rb -4.930 -5.580 1.240
Br -1.618 -0.889 -1.918
Br -1.495 -5.109 1.436
Sc 0.000 0.000 0.000
Br -3.392 -8.581 0.411
Rb -0.080 -3.891 -2.747
Br -3.516 -4.362 -2.943
Br 0.402 -7.374 -1.359
Li -3.999 -1.897 -2.248
Li -1.011 -7.574 0.741
Br -5.063 -0.436 -4.032
```

Properties
For the final energy, the calculation gives -0.284 Ry per atom. The total magnetization is 0.00 μB/f.u. The calculation puts the density of states at the Fermi level at 0.0 states/eV per cell.

=====

(2)
A plane-wave DFT calculation with PBE was carried out for crystalline Tl2In3Br5 at its relaxed geometry.

```
10
Lattice="-0.106 -1.256 4.336 -0.236 -8.325 -0.523 9.810 -3.605 4.651" Properties=species:S:1:pos:R:3 pbc="T T T"
Tl 6.603 -10.631 4.949
Br 0.000 0.000 0.000
In 0.754 -6.824 2.275
Br 5.741 -5.102 7.007
Br 3.728 -8.083 1.457
Br 7.614 -9.106 7.744
Br 1.855 -4.079 0.720
Tl 2.866 -2.555 3.515
In 8.715 -6.362 6.190
In 4.734 -6.593 4.232
```

Properties
For the final energy, the calculation gives -0.210 Ry per atom. The total magnetization is 0.00 μB/f.u. The calculation puts the density of states at the Fermi level at 0.0 states/eV per cell.

=====

(3)
A plane-wave DFT calculation with PBE was carried out for crystalline PaZnSi2Ni5 at its relaxed geometry.

```
9
Lattice="4.100 0.000 0.000 0.000 4.100 0.000 0.000 0.000 7.674" Properties=species:S:1:pos:R:3 pbc="T T T"
Ni 0.000 2.050 2.094
Pa 0.000 0.000 3.837
Si 2.050 2.050 1.146
Ni 2.050 2.050 3.837
Ni 2.050 0.000 5.580
Ni 0.000 2.050 5.580
Zn 0.000 0.000 0.000
Si 2.050 2.050 6.528
Ni 2.050 0.000 2.094
```

Properties
For the final energy, the calculation gives -0.432 Ry per atom. The total magnetization is 0.00 μB/f.u. The calculation puts the density of states at the Fermi level at 3.0 states/eV per cell.

=====

(4)
A plane-wave DFT calculation with PBE was carried out for crystalline Y13Th2 at its relaxed geometry.

```
15
Lattice="6.641 -0.187 0.681 -1.109 8.962 0.305 0.364 -4.033 8.074" Properties=species:S:1:pos:R:3 pbc="T T T"
Y 5.647 2.824 2.627
Th 0.661 0.353 3.591
Y 3.233 0.744 1.738
Y 1.995 -0.688 8.030
Y 0.511 6.334 1.982
Y 5.384 -1.591 7.077
Y 3.901 5.431 1.029
Y 0.248 1.918 6.433
Y 2.143 3.668 3.692
Y 0.000 0.000 0.000
Y 3.752 1.074 5.367
Y 3.769 7.121 3.825
Y 2.126 -2.379 5.235
Th 5.234 4.389 5.469
Y 2.663 3.998 7.322
```

Properties
The total magnetization is 0.00 μB/f.u. For the formation energy, the calculation gives 0.09 eV/atom. The calculation puts the density of states at the Fermi level at 27.4 states/eV per cell.

=====

Please write out number 1 again, unchanged.
A plane-wave DFT calculation with PBE was carried out for crystalline RbLiScBr5 at its relaxed geometry.

```
16
Lattice="-6.747 1.580 -3.583 4.380 -4.082 -5.000 -2.644 -6.969 7.076" Properties=species:S:1:pos:R:3 pbc="T T T"
Br -8.005 -4.016 1.632
Br 2.994 -5.455 -3.139
Sc -1.322 -3.484 3.538
Br -5.413 -2.097 -0.148
Br 0.052 -9.034 2.525
Rb -4.930 -5.580 1.240
Br -1.618 -0.889 -1.918
Br -1.495 -5.109 1.436
Sc 0.000 0.000 0.000
Br -3.392 -8.581 0.411
Rb -0.080 -3.891 -2.747
Br -3.516 -4.362 -2.943
Br 0.402 -7.374 -1.359
Li -3.999 -1.897 -2.248
Li -1.011 -7.574 0.741
Br -5.063 -0.436 -4.032
```

Properties
For the final energy, the calculation gives -0.284 Ry per atom. The total magnetization is 0.00 μB/f.u. The calculation puts the density of states at the Fermi level at 0.0 states/eV per cell.

=====

> What is the formula in the first record?

RbLiScBr5

=====

Copy entry 4 word for word.
A plane-wave DFT calculation with PBE was carried out for crystalline Y13Th2 at its relaxed geometry.

```
15
Lattice="6.641 -0.187 0.681 -1.109 8.962 0.305 0.364 -4.033 8.074" Properties=species:S:1:pos:R:3 pbc="T T T"
Y 5.647 2.824 2.627
Th 0.661 0.353 3.591
Y 3.233 0.744 1.738
Y 1.995 -0.688 8.030
Y 0.511 6.334 1.982
Y 5.384 -1.591 7.077
Y 3.901 5.431 1.029
Y 0.248 1.918 6.433
Y 2.143 3.668 3.692
Y 0.000 0.000 0.000
Y 3.752 1.074 5.367
Y 3.769 7.121 3.825
Y 2.126 -2.379 5.235
Th 5.234 4.389 5.469
Y 2.663 3.998 7.322
```

Properties
The total magnetization is 0.00 μB/f.u. For the formation energy, the calculation gives 0.09 eV/atom. The calculation puts the density of states at the Fermi level at 27.4 states/eV per cell.